<P>
A relaxed La4Sm3Er2 crystal. Source: Alexandria, functional GGA-PBE.

```
9
Lattice="-3.9102 2.6566 -2.1534 -1.3602 -6.1551 -5.1235 -2.3264 -2.4644 7.4495" Properties=species:S:1:pos:R:3 pbc="T T T"
La -2.8689 -0.8209 -2.0688
La -5.2319 -3.4202 -0.9847
La -4.7279 -5.1420 2.2413
La -2.3648 -2.5427 1.1572
Sm -5.7238 -1.5803 2.1784
Sm -1.8729 -4.3826 -2.0059
Sm 0.0000 0.0000 0.0000
Er -2.8427 -0.7577 4.2269
Er -4.7540 -5.2052 -4.0544
```

Summary:
For the volume, the calculation gives 311 Å³ per cell. The calculation puts the size of the total moment at 0.00 μB per formula unit.



<Q>
A relaxed La4Sm3Er2 crystal. Source: Alexandria, functional GGA-PBE.

```
9
Lattice="3.7128 0.0000 0.0000 -1.8564 6.3668 1.3798 0.0000 3.7323 14.3018" Properties=species:S:1:pos:R:3 pbc="T T T"
La 1.8564 2.3980 2.2455
La 0.0000 3.6905 8.9732
La 1.8564 6.4086 6.7084
La 0.0000 7.7011 13.4361
Sm 0.0000 7.1488 9.8425
Sm 0.0000 0.0000 0.0000
Sm 1.8564 2.9502 5.8391
Er 0.0000 5.1200 3.9381
Er 1.8564 4.9790 11.7435
```

Summary:
For the volume, the calculation gives 319 Å³ per cell. The calculation puts the size of the total moment at 0.00 μB per formula unit.



<P> is favored, and the nearest alternative lies 60 meV per atom above it.



<P>
A relaxed La6SmEr2 crystal. Source: Alexandria, functional GGA-PBE.

```
9
Lattice="3.7002 -0.0004 0.0007 0.0005 9.2283 4.2154 -0.0014 1.6967 10.0027" Properties=species:S:1:pos:R:3 pbc="T T T"
La 0.0001 4.9460 3.7478
La 3.6998 8.5770 8.4744
La 3.6992 5.9786 10.4710
La 1.8500 6.7847 6.0933
La -0.0006 2.3476 5.7444
La 1.8493 4.1399 8.1255
Sm 0.0000 0.0000 0.0000
Er 1.8500 1.9144 2.4920
Er 1.8493 9.0102 11.7267
```

Summary:
For the volume, the calculation gives 315 Å³ per cell. The calculation puts the size of the total moment at 0.00 μB per formula unit.



<Q>
A relaxed La6SmEr2 crystal. Source: Alexandria, functional GGA-PBE.

```
9
Lattice="3.6609 0.0000 0.0000 -1.8304 3.1704 0.0000 0.0000 0.0000 27.6217" Properties=species:S:1:pos:R:3 pbc="T T T"
La 1.8304 1.0568 24.6063
La 0.0000 2.1136 11.9676
La 0.0000 2.1136 21.4184
La 0.0000 2.1136 6.2033
La 0.0000 2.1136 15.6542
La 1.8304 1.0568 3.0155
Sm 0.0000 2.1136 0.0000
Er 1.8304 1.0568 9.1214
Er 1.8304 1.0568 18.5004
```

Summary:
For the volume, the calculation gives 321 Å³ per cell. The calculation puts the size of the total moment at 0.01 μB per formula unit.



<Q> is favored, and the nearest alternative lies 61 meV per atom above it.



<P>
A relaxed La7Sm4Er crystal. Source: Alexandria, functional GGA-PBE.

```
12
Lattice="6.1413 0.0000 0.0000 3.0706 9.2204 2.0225 3.0706 1.8921 8.0736" Properties=species:S:1:pos:R:3 pbc="T T T"
La 9.2119 9.0835 6.0879
La 3.0706 2.0290 4.0083
La 3.0706 5.7331 3.3221
La 9.2119 5.3794 6.7740
La 6.1413 8.7194 8.0722
La 3.0706 0.0000 0.0000
La 6.1413 2.3932 2.0240
Sm 6.1413 3.8241 5.0739
Sm 6.1413 7.2885 5.0223
Sm 6.1413 5.6849 1.6122
Sm 6.1413 5.4276 8.4840
Er 0.0000 0.0000 0.0000
```

Summary:
For the volume, the calculation gives 434 Å³ per cell. The calculation puts the size of the total moment at 0.35 μB per formula unit.



<Q>
A relaxed La7Sm4Er crystal. Source: Alexandria, functional GGA-PBE.

```
12
Lattice="7.0884 1.8947 0.9494 5.2741 7.8608 2.5743 -1.0702 -0.4974 9.1139" Properties=species:S:1:pos:R:3 pbc="T T T"
La 7.9435 5.3481 2.0098
La 3.3489 3.9100 10.6278
La 7.6360 3.7079 7.7254
La 3.6564 5.5502 4.9122
La 4.9634 6.2187 8.3031
La 3.5442 0.9473 0.4747
La 6.3289 3.0394 4.3345
Sm 7.2017 6.5203 5.3598
Sm 4.0906 2.7379 7.2778
Sm 8.5081 7.1490 8.7678
Sm 2.7842 2.1091 3.8698
Er 0.0000 0.0000 0.0000
```

Summary:
For the volume, the calculation gives 426 Å³ per cell. The calculation puts the size of the total moment at 0.00 μB per formula unit.



<Q> is favored, and the nearest alternative lies 187 meV per atom above it.



<P>
A relaxed LaSm2Er5 crystal. Source: Alexandria, functional GGA-PBE.

```
8
Lattice="-1.3714 2.8771 1.5728 -9.1381 -5.7993 2.6408 8.0186 -0.3150 3.5564" Properties=species:S:1:pos:R:3 pbc="T T T"
La 0.0000 0.0000 0.0000
Sm -3.1487 -3.8134 4.2288
Sm 0.6577 0.5762 3.5412
Er -4.5691 -2.8997 1.3204
Er -2.4330 -0.6094 3.0099
Er -0.0580 -2.6278 4.7602
Er -6.6063 -3.2579 4.2159
Er 4.1153 0.0207 3.5542
```

Summary:
For the volume, the calculation gives 259 Å³ per cell. The calculation puts the size of the total moment at 0.00 μB per formula unit.



<Q>
A relaxed LaSm2Er5 crystal. Source: Alexandria, functional GGA-PBE.

```
16
Lattice="5.0466 0.0000 0.0000 0.0000 7.1344 0.0000 0.0000 0.0000 14.2866" Properties=species:S:1:pos:R:3 pbc="T T T"
La 0.0000 0.0000 7.1433
La 0.0000 3.5672 0.0000
Sm 2.5233 1.8122 8.9537
Sm 2.5233 5.3222 5.3330
Sm 2.5233 1.7550 1.8103
Sm 2.5233 5.3793 12.4763
Er 0.0000 0.0000 0.0000
Er 0.0000 3.5672 7.1433
Er 0.0000 3.5944 10.6834
Er 0.0000 3.5399 3.6032
Er 0.0000 7.1071 3.5401
Er 0.0000 0.0273 10.7465
Er 2.5233 1.7975 12.4817
Er 2.5233 5.3368 1.8049
Er 2.5233 1.7697 5.3384
Er 2.5233 5.3647 8.9482
```

Summary:
For the volume, the calculation gives 514 Å³ per cell. The calculation puts the size of the total moment at 0.00 μB per formula unit.



<Q> is favored, and the nearest alternative lies 5 meV per atom above it.



<P>
A relaxed La3SmEr7 crystal. Source: Alexandria, functional GGA-PBE.

```
11
Lattice="-4.9196 1.5476 2.7712 1.0432 -8.4030 0.3742 6.5268 0.0162 5.4073" Properties=species:S:1:pos:R:3 pbc="T T T"
La 2.2197 -6.5966 1.4541
La -2.4598 0.7738 1.3856
La 5.3503 -1.7902 4.3275
Sm 1.3252 -3.4196 4.2764
Er 0.5527 -1.4179 1.7696
Er 3.4813 -7.8342 4.3949
Er -2.9801 -2.3047 2.1851
Er 5.6305 -4.5345 6.3676
Er 3.7850 -4.1934 2.8908
Er -0.8309 0.9950 4.1578
Er 2.0977 -5.4213 6.7831
```

Summary:
For the volume, the calculation gives 371 Å³ per cell. The calculation puts the size of the total moment at 0.00 μB per formula unit.



<Q>
A relaxed La3SmEr7 crystal. Source: Alexandria, functional GGA-PBE.

```
11
Lattice="-3.4372 8.2143 0.5445 -7.2638 -6.3526 3.1594 3.6104 -2.4309 3.4087" Properties=species:S:1:pos:R:3 pbc="T T T"
La -5.4006 -6.3171 5.7001
La -3.6319 -3.1763 1.5797
La -1.6901 5.7479 1.4125
Sm -3.5453 -0.2846 3.5563
Er -5.8683 -0.0213 6.2093
Er -6.2865 1.8778 3.5229
Er -3.7951 3.1016 1.7535
Er -3.2955 -3.6708 5.3590
Er 0.0866 2.8917 1.9766
Er -0.8041 -2.4470 3.5896
Er -1.2223 -0.5480 0.9032
```

Summary:
For the volume, the calculation gives 367 Å³ per cell. The calculation puts the size of the total moment at 0.00 μB per formula unit.



<Q> is favored, and the nearest alternative lies 115 meV per atom above it.



<P>
A relaxed La3Sm2Er8 crystal. Source: Alexandria, functional GGA-PBE.

```
13
Lattice="-1.6693 -5.0880 -1.7369 4.1235 -3.2800 5.6453 -10.1037 2.1890 3.3705" Properties=species:S:1:pos:R:3 pbc="T T T"
La -0.8346 -2.5440 -0.8684
La 1.2372 -0.9841 1.6937
La 2.8863 -2.2959 3.9515
Sm -4.7048 -2.2632 2.1215
Sm -2.9448 -3.9157 5.1573
Er -0.6701 -1.4662 4.9191
Er -6.9795 -4.7128 2.3598
Er -3.8418 -4.9328 -0.0598
Er -3.8077 -1.2461 7.3387
Er -6.2553 -2.7943 5.1455
Er -7.9730 -1.4280 2.7940
Er 0.3234 -4.7509 4.4849
Er -1.3943 -3.3846 2.1334
```

Summary:
For the volume, the calculation gives 442 Å³ per cell. The calculation puts the size of the total moment at 0.00 μB per formula unit.



<Q>
A relaxed La3Sm2Er8 crystal. Source: Alexandria, functional GGA-PBE.

```
13
Lattice="-2.9498 4.0927 -2.3713 -5.7739 -3.5989 0.9755 -3.6143 0.4108 11.7610" Properties=species:S:1:pos:R:3 pbc="T T T"
La 0.0000 0.0000 0.0000
La -3.1665 1.1272 -0.6652
La -9.1715 -0.2227 11.0304
Sm -7.9970 1.0435 5.2033
Sm -4.3410 -0.1390 5.1619
Er -3.3309 -1.2023 2.0710
Er -9.0071 2.1068 8.2942
Er -7.0322 -2.3850 4.6374
Er -5.3059 3.2896 5.7278
Er -8.1281 -1.3242 7.8325
Er -5.4243 0.8350 8.1890
Er -6.9138 0.0696 2.1762
Er -4.2100 2.2288 2.5327
```

Summary:
For the volume, the calculation gives 426 Å³ per cell. The calculation puts the size of the total moment at 0.00 μB per formula unit.



<Q> is favored, and the nearest alternative lies 174 meV per atom above it.



<P>
A relaxed La3SmEr2 crystal. Source: Alexandria, functional GGA-PBE.

```
12
Lattice="8.6482 -2.9931 -4.2659 5.3334 -7.7611 3.6426 -9.2975 2.5692 -2.9841" Properties=species:S:1:pos:R:3 pbc="T T T"
La 1.4320 -5.3911 0.1870
La 3.2522 -2.7939 -3.7943
La 7.0162 -7.3979 -0.1958
La 6.6975 -3.4939 -4.0619
La -2.0134 -4.6911 0.4546
La -2.3321 -0.7871 -3.4116
Sm 1.2710 -5.3887 -3.4652
Sm 3.4131 -2.7963 -0.1422
Er 9.2765 -5.3057 -2.3537
Er 0.3037 -2.5246 -1.7128
Er 4.3805 -5.6604 -1.8946
Er 4.7051 -5.4484 1.7304
```

Summary:
For the volume, the calculation gives 422 Å³ per cell. The calculation puts the size of the total moment at 0.00 μB per formula unit.



<Q>
A relaxed La3SmEr2 crystal. Source: Alexandria, functional GGA-PBE.

```
6
Lattice="3.4964 0.0000 0.0000 0.0000 6.0110 0.0000 -1.7482 -3.0055 9.8957" Properties=species:S:1:pos:R:3 pbc="T T T"
La 0.0000 3.0055 0.0000
La 1.7482 3.0055 6.1673
La 0.0000 0.0000 3.7284
Sm 0.0000 0.0000 0.0000
Er 1.7482 3.0055 2.7190
Er 0.0000 0.0000 7.1768
```

Summary:
For the volume, the calculation gives 208 Å³ per cell. The calculation puts the size of the total moment at 0.00 μB per formula unit.



<P> is favored, and the nearest alternative lies 173 meV per atom above it.



<P>
A relaxed La2Sm5Er12 crystal. Source: Alexandria, functional GGA-PBE.

```
19
Lattice="-6.0281 -0.6213 1.6901 4.5347 -5.7397 -7.9331 2.8492 -1.7803 13.4313" Properties=species:S:1:pos:R:3 pbc="T T T"
La -3.0534 -1.6593 2.0099
La 4.4091 -6.4819 5.1784
Sm 2.4494 -3.9405 3.9017
Sm 0.2127 -4.4414 -2.2901
Sm 1.4246 -0.8901 6.7157
Sm 1.1430 -3.6998 9.4784
Sm -1.0937 -4.2007 3.2866
Er 0.4901 -1.1629 3.0117
Er 2.6828 -4.3142 -4.8261
Er 1.9842 -6.6242 7.7443
Er -2.3261 -4.5900 0.1266
Er 1.2491 -3.9687 0.8670
Er 3.3624 -6.7041 1.4795
Er -2.0067 -1.4371 5.7088
Er 3.6818 -3.5512 7.0617
Er 0.1067 -4.1725 6.3213
Er -1.3271 -3.8270 12.0144
Er -0.6285 -1.5170 -0.5560
Er 0.8656 -6.9783 4.1766
```

Summary:
For the volume, the calculation gives 616 Å³ per cell. The calculation puts the size of the total moment at 0.00 μB per formula unit.



<Q>
A relaxed La2Sm5Er12 crystal. Source: Alexandria, functional GGA-PBE.

```
19
Lattice="9.2829 0.0000 0.0000 -4.6414 11.3437 -1.5680 0.0000 -5.3896 6.6801" Properties=species:S:1:pos:R:3 pbc="T T T"
La 6.3488 0.0000 0.0000
La 2.9341 0.0000 0.0000
Sm 0.0000 3.5020 3.1316
Sm 0.0000 0.4610 5.2046
Sm 0.0000 -2.6948 3.3400
Sm 4.6414 5.4930 -0.0925
Sm 4.6414 2.4520 1.9804
Er 0.0000 0.4007 1.6949
Er -2.9834 2.8047 5.1763
Er 2.9834 2.8047 5.1763
Er -1.7560 6.3079 1.4988
Er 1.7560 6.3079 1.4988
Er 4.6414 -2.9199 5.0621
Er 0.0000 8.8739 0.0500
Er 6.3975 -0.3538 3.6132
Er 2.8854 -0.3538 3.6132
Er 7.6249 3.1493 -0.0642
Er 1.6580 3.1493 -0.0642
Er 4.6414 5.5533 3.4171
```

Summary:
For the volume, the calculation gives 625 Å³ per cell. The calculation puts the size of the total moment at 0.00 μB per formula unit.



<P> is favored, and the nearest alternative lies 65 meV per atom above it.



<P>
A relaxed La12SmEr7 crystal. Source: Alexandria, functional GGA-PBE.

```
20
Lattice="6.2301 0.0000 -1.2822 -3.2157 9.7861 -5.1066 0.2012 0.0000 11.4954" Properties=species:S:1:pos:R:3 pbc="T T T"
La -1.2906 5.7940 -1.0241
La 0.0984 1.8030 5.7488
La 1.4777 6.3150 -4.0241
La 2.7495 0.0021 3.5274
La 1.9202 3.9910 4.0829
La -1.4770 6.3129 4.0276
La 4.6926 3.4732 1.0790
La 1.2955 5.7951 1.0237
La 0.4662 9.7840 1.5792
La 1.7380 3.4711 9.1307
La 3.1173 7.9831 -0.6422
La 4.5063 3.9921 6.1307
Sm 0.0000 0.0000 0.0000
Er -1.7035 7.3648 -3.9886
Er 5.5639 0.0017 1.7103
Er 1.7041 7.3631 3.9915
Er 3.1151 0.0000 -0.6411
Er 1.5116 2.4230 1.1151
Er -2.3483 9.7844 3.3963
Er 4.9191 2.4213 9.0952
```

Summary:
For the volume, the calculation gives 703 Å³ per cell. The calculation puts the size of the total moment at 0.00 μB per formula unit.



<Q>
A relaxed La12SmEr7 crystal. Source: Alexandria, functional GGA-PBE.

```
20
Lattice="8.6264 1.1020 1.6541 -1.3401 8.5926 1.6541 -1.3401 -1.7830 8.5668" Properties=species:S:1:pos:R:3 pbc="T T T"
La 6.0488 1.9588 7.9990
La 5.7466 2.9773 2.9295
La 4.4199 1.0532 5.3758
La 6.1635 4.6986 5.6161
La 1.2620 0.2586 6.9864
La 2.7995 2.3993 8.8325
La 3.1467 5.5123 3.0425
La 4.6842 7.6531 4.8885
La -0.2173 3.2130 6.2589
La 1.5263 6.8584 6.4992
La 0.1996 4.9343 8.9455
La -0.1026 5.9528 3.8760
Sm 0.0000 0.0000 0.0000
Er 5.3040 4.6322 10.5060
Er 2.9716 0.6746 1.9381
Er -0.1783 0.6169 3.5537
Er 2.9731 3.9558 5.9375
Er 6.1245 7.2947 8.3212
Er 2.9746 7.2370 9.9369
Er 0.6422 3.2795 1.3690
```

Summary:
For the volume, the calculation gives 694 Å³ per cell. The calculation puts the size of the total moment at 0.00 μB per formula unit.



<Q> is favored, and the nearest alternative lies 10 meV per atom above it.



<P>
A relaxed La7Sm3Er2 crystal. Source: Alexandria, functional GGA-PBE.

```
12
Lattice="3.5891 0.0000 0.0000 0.0000 6.5155 0.8052 0.0000 2.5307 18.2892" Properties=species:S:1:pos:R:3 pbc="T T T"
La 1.7946 2.7874 9.4968
La 1.7946 6.2588 9.5976
La 0.0000 4.0590 3.5423
La 0.0000 0.0000 0.0000
La 0.0000 4.9872 15.5521
La 1.7946 8.2863 15.9054
La 1.7946 0.7600 3.1890
Sm 1.7946 3.2578 0.4026
Sm 0.0000 1.6258 6.2530
Sm 0.0000 7.4205 12.8413
Er 1.7946 4.8203 6.5411
Er 1.7946 4.2259 12.5533
```

Summary:
For the volume, the calculation gives 420 Å³ per cell. The calculation puts the size of the total moment at 0.00 μB per formula unit.



<Q>
A relaxed La7Sm3Er2 crystal. Source: Alexandria, functional GGA-PBE.

```
12
Lattice="3.6330 0.0000 0.0000 0.0000 5.9816 -0.2582 0.0000 -3.8235 19.6054" Properties=species:S:1:pos:R:3 pbc="T T T"
La 1.8165 2.5445 8.9724
La 1.8165 -0.3865 10.3748
La 0.0000 2.2650 2.7605
La 0.0000 0.0000 0.0000
La 0.0000 -0.1069 16.5867
La 1.8165 2.8177 15.7207
La 1.8165 -0.6596 3.6265
Sm 1.8165 2.9908 -0.1291
Sm 0.0000 -0.5281 7.1034
Sm 0.0000 2.6862 12.2438
Er 1.8165 2.3863 5.6966
Er 1.8165 -0.2282 13.6506
```

Summary:
For the volume, the calculation gives 422 Å³ per cell. The calculation puts the size of the total moment at 0.00 μB per formula unit.



<P> is favored, and the nearest alternative lies 22 meV per atom above it.